The following is a DFT calculation (GGA-PBE) of a geometry-optimized CaTlF6 structure.

Computed properties:
VASP energy   -4.232 eV/atom
Crystal system   triclinic
Formation energy (no corrections)   -2283 meV/atom

Cell: 3.999 5.539 5.961 Å, 73.32 77.73 75.88°
Fractional positions:
Ca 0.000 0.000 0.000
Tl 0.500 0.500 0.500
F 0.075 0.579 0.269
F 0.254 0.754 0.735
F 0.462 0.888 0.232
F 0.538 0.112 0.768
F 0.746 0.246 0.265
F 0.925 0.421 0.731